No. 1
SmDy9Y2 | PBE | optimized geometry

Calculated values
The value obtained for the calculated formation energy is 0.049 eV/atom. The total energy is -4.8728 eV/atom.

abc: 3.499 11.251 11.251
angles: 120.00 90.00 90.00
Fractional coordinates of all 12 atoms:
Dy1 0.500 0.177 0.823
Dy2 0.000 0.500 0.000
Y1 0.000 0.667 0.333
Dy3 0.500 0.647 0.823
Sm1 0.000 0.000 0.000
Dy4 0.500 0.353 0.177
Dy5 0.000 0.500 0.500
Dy6 0.000 0.000 0.500
Dy7 0.500 0.177 0.353
Y2 0.000 0.333 0.667
Dy8 0.500 0.823 0.647
Dy9 0.500 0.823 0.177


No. 2
Sm4Dy3Y5 | PBE | optimized geometry

Calculated values
The value obtained for the calculated formation energy is 0.017 eV/atom. The total energy is -5.3997 eV/atom.

abc: 7.165 11.331 12.914
angles: 151.28 56.29 129.31
Fractional coordinates of all 12 atoms:
Sm1 0.834 0.667 0.833
Y1 0.751 0.499 0.999
Y2 0.333 0.665 0.832
Y3 0.249 0.501 0.001
Y4 0.500 0.000 0.500
Dy1 0.000 0.000 0.500
Y5 0.667 0.335 0.168
Sm2 0.918 0.834 0.666
Sm3 0.166 0.333 0.167
Sm4 0.082 0.166 0.334
Dy2 0.419 0.835 0.667
Dy3 0.581 0.165 0.333


No. 3
Sm4DyY6 | PBE | optimized geometry

Calculated values
The value obtained for the calculated formation energy is 0.161 eV/atom. The total energy is -5.4990 eV/atom.

abc: 3.584 10.956 10.956
angles: 120.00 90.00 90.00
Fractional coordinates of all 11 atoms:
Y1 0.000 0.521 0.479
Y2 0.500 0.183 0.366
Dy1 0.000 0.000 0.000
Sm1 0.500 0.841 0.159
Sm2 0.500 0.319 0.159
Y3 0.000 0.958 0.479
Y4 0.500 0.183 0.817
Y5 0.500 0.634 0.817
Y6 0.000 0.521 0.042
Sm3 0.000 0.333 0.667
Sm4 0.500 0.841 0.681


No. 4
Sm3Dy8Y2 | PBE | optimized geometry

Calculated values
The value obtained for the calculated formation energy is 0.242 eV/atom. The total energy is -4.6734 eV/atom.

abc: 5.637 7.680 10.803
angles: 110.87 90.01 90.00
Fractional coordinates of all 13 atoms:
Dy1 0.000 0.669 0.337
Sm1 0.500 0.000 0.000
Dy2 0.000 0.331 0.663
Dy3 0.500 0.398 0.216
Dy4 0.000 0.866 0.733
Dy5 0.500 0.818 0.216
Dy6 0.500 0.602 0.784
Dy7 0.500 0.182 0.784
Sm2 0.000 0.710 0.000
Sm3 0.000 0.290 0.000
Y1 0.500 0.759 0.517
Dy8 0.000 0.134 0.267
Y2 0.500 0.241 0.483


No. 5
SmDy2Y | PBE | optimized geometry

Calculated values
The value obtained for the calculated formation energy is 0.022 eV/atom. The total energy is -5.0753 eV/atom.

abc: 5.053 5.050 5.050
angles: 90.00 90.00 90.00
Fractional coordinates of all 4 atoms:
Dy1 0.000 0.500 0.000
Dy2 0.000 0.000 0.500
Y1 0.500 0.000 0.000
Sm1 0.500 0.500 0.500


No. 6
Sm2Dy8Y | PBE | optimized geometry

Calculated values
The value obtained for the calculated formation energy is 0.169 eV/atom. The total energy is -4.6234 eV/atom.

abc: 6.641 6.644 8.921
angles: 99.17 111.85 90.00
Fractional coordinates of all 11 atoms:
Dy1 0.650 0.596 0.824
Dy2 0.201 0.802 0.401
Dy3 0.174 0.596 0.824
Dy4 0.589 0.905 0.178
Y1 0.000 0.000 0.000
Dy5 0.826 0.404 0.176
Dy6 0.799 0.198 0.599
Dy7 0.411 0.095 0.822
Dy8 0.350 0.404 0.176
Sm1 0.756 0.689 0.511
Sm2 0.244 0.311 0.489


No. 7
Sm4Dy5Y4 | PBE | optimized geometry

Calculated values
The value obtained for the calculated formation energy is 0.018 eV/atom. The total energy is -5.1934 eV/atom.

abc: 5.047 9.472 9.472
angles: 85.93 74.55 74.55
Fractional coordinates of all 13 atoms:
Sm1 0.384 0.693 0.539
Dy1 0.690 0.848 0.771
Y1 0.770 0.383 0.077
Y2 0.230 0.617 0.923
Sm2 0.077 0.539 0.307
Sm3 0.923 0.461 0.693
Y3 0.847 0.923 0.383
Dy2 0.310 0.152 0.229
Dy3 0.462 0.229 0.848
Dy4 0.000 0.000 0.000
Y4 0.153 0.077 0.617
Dy5 0.538 0.771 0.152
Sm4 0.616 0.307 0.461


No. 8
SmDy12Y7 | PBE | optimized geometry

Calculated values
The value obtained for the calculated formation energy is 0.305 eV/atom. The total energy is -4.9547 eV/atom.

abc: 8.702 8.702 8.702
angles: 95.02 95.02 95.02
Fractional coordinates of all 20 atoms:
Dy1 0.677 0.808 0.251
Dy2 0.589 0.526 0.856
Dy3 0.474 0.144 0.411
Y1 0.652 0.989 0.921
Y2 0.079 0.348 0.011
Dy4 0.192 0.749 0.323
Dy5 0.808 0.251 0.677
Y3 0.348 0.011 0.079
Dy6 0.411 0.474 0.144
Y4 0.011 0.079 0.348
Dy7 0.526 0.856 0.589
Y5 0.500 0.500 0.500
Dy8 0.144 0.411 0.474
Y6 0.989 0.921 0.652
Dy9 0.251 0.677 0.808
Dy10 0.323 0.192 0.749
Dy11 0.749 0.323 0.192
Dy12 0.856 0.589 0.526
Y7 0.921 0.652 0.989
Sm1 0.000 0.000 0.000


No. 9
SmDyY5 | PBE | optimized geometry

Calculated values
The value obtained for the calculated formation energy is 0.205 eV/atom. The total energy is -5.7441 eV/atom.

abc: 6.342 6.594 11.828
angles: 93.87 74.45 104.57
Fractional coordinates of all 14 atoms:
Y1 0.767 0.001 0.412
Sm1 0.919 0.750 0.161
Y2 0.178 0.501 0.588
Y3 0.822 0.499 0.412
Y4 0.318 0.858 0.911
Y5 0.233 0.999 0.588
Y6 0.771 0.642 0.911
Y7 0.644 0.250 0.711
Dy1 0.334 0.250 0.333
Y8 0.356 0.750 0.289
Y9 0.682 0.142 0.089
Dy2 0.666 0.750 0.667
Y10 0.229 0.358 0.089
Sm2 0.081 0.250 0.839


No. 10
Sm3Dy4Y2 | PBE | optimized geometry

Calculated values
The value obtained for the calculated formation energy is 0.209 eV/atom. The total energy is -4.8456 eV/atom.

abc: 5.068 6.033 11.713
angles: 69.95 77.51 65.16
Fractional coordinates of all 9 atoms:
Sm1 0.444 0.355 0.758
Sm2 0.000 0.000 0.000
Sm3 0.556 0.645 0.242
Dy1 0.720 0.661 0.898
Dy2 0.280 0.339 0.102
Y1 0.163 0.251 0.422
Dy3 0.854 0.013 0.279
Dy4 0.146 0.987 0.721
Y2 0.837 0.749 0.578


No. 11
Sm7DyY12 | PBE | optimized geometry

Calculated values
The value obtained for the calculated formation energy is 0.238 eV/atom. The total energy is -5.5220 eV/atom.

abc: 8.818 8.818 8.818
angles: 86.07 86.07 86.07
Fractional coordinates of all 20 atoms:
Y1 0.864 0.503 0.384
Y2 0.746 0.271 0.146
Y3 0.136 0.497 0.616
Y4 0.146 0.746 0.271
Sm1 0.500 0.500 0.500
Y5 0.503 0.384 0.864
Sm2 0.076 0.153 0.397
Sm3 0.153 0.397 0.076
Sm4 0.847 0.603 0.924
Y6 0.497 0.616 0.136
Y7 0.729 0.854 0.254
Sm5 0.924 0.847 0.603
Sm6 0.397 0.076 0.153
Sm7 0.603 0.924 0.847
Dy1 0.000 0.000 0.000
Y8 0.616 0.136 0.497
Y9 0.254 0.729 0.854
Y10 0.384 0.864 0.503
Y11 0.854 0.254 0.729
Y12 0.271 0.146 0.746


No. 12
SmDy2Y6 | PBE | optimized geometry

Calculated values
The value obtained for the calculated formation energy is 0.364 eV/atom. The total energy is -5.4929 eV/atom.

abc: 7.393 7.393 7.679
angles: 61.22 61.22 60.00
Fractional coordinates of all 9 atoms:
Y1 0.614 0.048 0.289
Y2 0.048 0.614 0.289
Y3 0.780 0.262 0.695
Y4 0.263 0.780 0.695
Y5 0.048 0.048 0.289
Dy1 0.580 0.580 0.260
Sm1 0.315 0.315 0.055
Dy2 0.755 0.755 0.734
Y6 0.262 0.263 0.695


No. 13
SmDy2Y | PBE | optimized geometry

Calculated values
The value obtained for the calculated formation energy is 0.013 eV/atom. The total energy is -5.0839 eV/atom.

abc: 3.648 6.759 6.759
angles: 55.52 74.36 74.36
Fractional coordinates of all 4 atoms:
Sm1 0.250 0.167 0.333
Dy1 0.500 0.584 0.417
Dy2 0.000 0.083 0.916
Y1 0.750 0.666 0.834


No. 14
Sm3Dy4Y4 | PBE | optimized geometry

Calculated values
The value obtained for the calculated formation energy is 0.056 eV/atom. The total energy is -5.2554 eV/atom.

abc: 3.499 5.672 18.262
angles: 81.08 84.49 90.00
Fractional coordinates of all 11 atoms:
Y1 0.410 0.909 0.181
Sm1 0.137 0.637 0.726
Y2 0.590 0.091 0.819
Y3 0.733 0.733 0.534
Dy1 0.319 0.819 0.362
Dy2 0.546 0.546 0.909
Sm2 0.000 0.000 0.000
Y4 0.267 0.267 0.466
Dy3 0.681 0.181 0.638
Dy4 0.454 0.454 0.091
Sm3 0.863 0.363 0.273


No. 15
Sm2Dy5Y5 | PBE | optimized geometry

Calculated values
The value obtained for the calculated formation energy is 0.021 eV/atom. The total energy is -5.3768 eV/atom.

abc: 5.046 7.975 10.712
angles: 72.66 76.38 71.56
Fractional coordinates of all 12 atoms:
Dy1 0.750 0.249 0.250
Sm1 0.083 0.582 0.251
Dy2 0.167 0.165 0.500
Dy3 0.000 0.000 0.000
Dy4 0.833 0.835 0.500
Y1 0.416 0.918 0.250
Y2 0.500 0.500 0.500
Sm2 0.917 0.418 0.749
Y3 0.584 0.082 0.750
Y4 0.334 0.333 0.000
Dy5 0.250 0.751 0.750
Y5 0.666 0.667 0.000


No. 16
Sm5Dy3Y3 | PBE | optimized geometry

Calculated values
The value obtained for the calculated formation energy is 0.796 eV/atom. The total energy is -4.3675 eV/atom.

abc: 5.601 9.715 9.715
angles: 120.00 90.00 90.00
Fractional coordinates of all 11 atoms:
Sm1 0.500 0.000 0.725
Dy1 0.500 0.637 0.637
Dy2 0.500 0.363 0.000
Y1 0.000 0.538 0.000
Dy3 0.500 0.000 0.363
Sm2 0.500 0.725 0.000
Y2 0.000 0.000 0.538
Sm3 0.500 0.667 0.333
Sm4 0.500 0.333 0.667
Y3 0.000 0.462 0.462
Sm5 0.500 0.275 0.275


No. 17
SmDy4Y | PBE | optimized geometry

Calculated values
The value obtained for the calculated formation energy is 0.256 eV/atom. The total energy is -4.6755 eV/atom.

abc: 6.583 6.583 6.583
angles: 60.00 60.00 60.00
Fractional coordinates of all 6 atoms:
Dy1 0.625 0.625 0.124
Dy2 0.625 0.124 0.625
Y1 0.000 0.000 0.000
Dy3 0.124 0.625 0.625
Dy4 0.625 0.625 0.625
Sm1 0.250 0.250 0.250


No. 18
Sm12DyY2 | PBE | optimized geometry

Calculated values
The value obtained for the calculated formation energy is 0.157 eV/atom. The total energy is -4.7870 eV/atom.

abc: 6.784 6.784 24.792
angles: 90.00 90.00 116.19
Fractional coordinates of all 30 atoms:
Sm1 0.251 0.249 0.075
Y1 0.500 0.000 0.266
Sm2 0.749 0.249 0.871
Sm3 0.772 0.728 0.439
Sm4 0.500 0.500 0.801
Sm5 0.751 0.749 0.925
Sm6 0.751 0.251 0.129
Sm7 0.728 0.772 0.561
Sm8 0.000 0.000 0.325
Sm9 0.251 0.751 0.871
Sm10 0.228 0.272 0.439
Sm11 0.000 0.000 0.675
Y2 0.000 0.500 0.270
Sm12 0.000 0.000 0.199
Sm13 0.249 0.749 0.129
Sm14 0.268 0.768 0.415
Sm15 0.500 0.500 0.675
Sm16 0.232 0.732 0.585
Sm17 0.732 0.232 0.415
Dy1 0.000 0.500 0.001
Sm18 0.249 0.251 0.925
Sm19 0.000 0.000 0.801
Sm20 0.500 0.500 0.325
Y3 0.000 0.500 0.734
Dy2 0.500 0.000 0.999
Sm21 0.768 0.268 0.585
Sm22 0.749 0.751 0.075
Y4 0.500 0.000 0.730
Sm23 0.272 0.228 0.561
Sm24 0.500 0.500 0.199


No. 19
Sm9Dy3Y2 | PBE | optimized geometry

Calculated values
The value obtained for the calculated formation energy is 0.245 eV/atom. The total energy is -4.6983 eV/atom.

abc: 9.037 9.037 13.881
angles: 90.00 90.00 120.00
Fractional coordinates of all 28 atoms:
Sm1 0.132 0.724 0.958
Sm2 0.132 0.724 0.542
Sm3 0.398 0.917 0.750
Sm4 0.591 0.868 0.958
Dy1 0.251 0.171 0.750
Sm5 0.591 0.868 0.542
Y1 0.667 0.333 0.858
Dy2 0.829 0.080 0.750
Sm6 0.868 0.276 0.042
Dy3 0.920 0.749 0.750
Y2 0.667 0.333 0.642
Sm7 0.409 0.132 0.042
Sm8 0.276 0.409 0.542
Sm9 0.724 0.591 0.042
Sm10 0.917 0.519 0.250
Y3 0.333 0.667 0.142
Sm11 0.519 0.602 0.750
Sm12 0.724 0.591 0.458
Sm13 0.868 0.276 0.458
Sm14 0.409 0.132 0.458
Sm15 0.602 0.083 0.250
Y4 0.333 0.667 0.358
Dy4 0.171 0.920 0.250
Sm16 0.276 0.409 0.958
Dy5 0.080 0.251 0.250
Dy6 0.749 0.829 0.250
Sm17 0.481 0.398 0.250
Sm18 0.083 0.481 0.750